1.
# TbInCoTe3 (PBE-GGA, optimized geometry)
data_TbInCoTe3
_symmetry_space_group_name_H-M 'P 1'
_symmetry_Int_Tables_number 1
_symmetry_space_group_name_Hall 'P 1'
_cell_length_a 7.974
_cell_length_b 7.974
_cell_length_c 11.126
_cell_angle_alpha 90.00
_cell_angle_beta 90.00
_cell_angle_gamma 150.09
loop_
_atom_site_label
_atom_site_fract_x
_atom_site_fract_y
_atom_site_fract_z
_atom_site_occupancy
Tb1 0.000 0.000 0.000 1
Tb2 0.000 0.000 0.500 1
In1 0.246 0.754 0.750 1
In2 0.754 0.246 0.250 1
Co1 0.475 0.525 0.250 1
Co2 0.525 0.475 0.750 1
Te1 0.079 0.921 0.250 1
Te2 0.364 0.636 0.077 1
Te3 0.364 0.636 0.423 1
Te4 0.636 0.364 0.577 1
Te5 0.636 0.364 0.923 1
Te6 0.921 0.079 0.750 1
# Space-group type: Cmcm

2.
# Te3WSeI (PBE-GGA, optimized geometry)
data_Te3WSeI
_symmetry_space_group_name_H-M 'P 1'
_symmetry_Int_Tables_number 1
_symmetry_space_group_name_Hall 'P 1'
_cell_length_a 6.798
_cell_length_b 8.413
_cell_length_c 8.627
_cell_angle_alpha 103.60
_cell_angle_beta 113.10
_cell_angle_gamma 98.77
loop_
_atom_site_label
_atom_site_fract_x
_atom_site_fract_y
_atom_site_fract_z
_atom_site_occupancy
Te1 0.076 0.267 0.051 1
Te2 0.162 0.094 0.290 1
Te3 0.348 0.723 0.796 1
Te4 0.652 0.277 0.204 1
Te5 0.838 0.906 0.710 1
Te6 0.924 0.733 0.949 1
W1 0.284 0.000 0.000 1
W2 0.716 0.000 0.000 1
Se1 0.454 0.166 0.846 1
Se2 0.546 0.834 0.154 1
I1 0.158 0.734 0.412 1
I2 0.842 0.266 0.588 1
# Space-group type: P-1

3.
# PrHPt (PBE-GGA, optimized geometry)
data_PrHPt
_symmetry_space_group_name_H-M 'P 1'
_symmetry_Int_Tables_number 1
_symmetry_space_group_name_Hall 'P 1'
_cell_length_a 6.064
_cell_length_b 6.064
_cell_length_c 4.628
_cell_angle_alpha 93.08
_cell_angle_beta 93.08
_cell_angle_gamma 39.16
loop_
_atom_site_label
_atom_site_fract_x
_atom_site_fract_y
_atom_site_fract_z
_atom_site_occupancy
Pr1 0.132 0.132 0.254 1
Pr2 0.868 0.868 0.746 1
H1 0.312 0.312 0.002 1
H2 0.688 0.688 0.998 1
Pt1 0.418 0.418 0.274 1
Pt2 0.582 0.582 0.726 1
# Space-group type: C2/m

Number 1: M_tot 0.342 μB/atom, calculated volume 29.39 Å³ per atom, raw total energy -0.167 hartree per atom. Number 2: M_tot 0.000 μB/atom, calculated volume 35.35 Å³ per atom, raw total energy -0.174 hartree per atom. Number 3: M_tot 0.000 μB/atom, calculated volume 17.88 Å³ per atom, raw total energy -0.205 hartree per atom.